YTaBe2: relaxed, PBE-GGA.

The structure in POSCAR format:
```
YTaBe2
1.0
-4.232 0.048 0.355
-0.221 -3.663 -2.139
-1.651 -6.202 6.573
Y Ta Be
2 2 4
direct
0.250 0.750 0.500
0.500 0.500 0.000
0.000 0.000 0.000
0.750 0.250 0.500
0.832 0.625 0.250
0.375 0.082 0.750
0.918 0.125 0.250
0.875 0.168 0.750
```

Calculated values
Calculated density in g/cm³: 6.1
E_form in eV/atom: 0.832
Calculated total energy in eV per formula unit: -22.44
Energy above the lowest structure with this stoichiometry in meV per atom: 725
Volume in Å³/atom: 19.577

=====

La5Ho2Sn5: relaxed, PBE-GGA.

The structure in POSCAR format:
```
La5Ho2Sn5
1.0
4.550 0.000 0.000
-2.275 7.598 -0.348
0.000 -4.188 12.342
La Sn Ho
5 5 2
direct
0.724 0.448 0.340
0.276 0.552 0.660
0.338 0.675 0.961
0.500 0.000 0.500
0.662 0.325 0.039
0.116 0.231 0.425
0.000 0.000 0.000
0.686 0.372 0.789
0.314 0.628 0.211
0.884 0.769 0.575
0.951 0.903 0.211
0.049 0.097 0.789
```

Calculated values
Calculated density in g/cm³: 6.4
E_form in eV/atom: -0.585
Calculated total energy in eV per formula unit: -60.82
Volume in Å³/atom: 35.004

=====

InSb2Te4: relaxed, PBE-GGA.

The structure in POSCAR format:
```
InSb2Te4
1.0
-1.299 -0.103 4.054
3.854 -1.484 -1.040
5.631 13.130 2.136
Sb In Te
2 1 4
direct
0.000 0.000 0.784
0.000 0.000 0.216
0.000 0.000 0.500
0.333 0.667 0.628
0.667 0.333 0.372
0.333 0.667 0.908
0.667 0.333 0.092
```

Calculated values
Calculated density in g/cm³: 6.4
Calculated total energy in eV per formula unit: -24.10
Volume in Å³/atom: 32.412

=====

NaZnGeAu: relaxed, PBE-GGA.

The structure in POSCAR format:
```
NaZnGeAu
1.0
-1.826 -1.500 4.031
0.239 -4.527 1.132
2.811 -1.397 3.462
Au Na Zn Ge
1 1 1 1
direct
0.000 0.000 0.000
0.500 0.500 0.500
0.750 0.750 0.750
0.250 0.250 0.250
```

Calculated values
Calculated density in g/cm³: 8.2
E_form in eV/atom: -0.045
Calculated total energy in eV per formula unit: -10.67
Energy above the lowest structure with this stoichiometry in meV per atom: 79
Volume in Å³/atom: 18.034